Model A:
6
Lattice="6.099 -1.826 0.000 6.099 1.826 0.000 -4.447 0.000 9.423" Properties=species:S:1:pos:R:3 comment="CaNdSm4, relaxed, DFT PBE-GGA" rho_g_cm3=6.22 magnetic_moment_mub_per_cell=0.00 pbc="T T T"
Ca 0.000 0.000 0.000
Nd -2.224 0.000 4.711
Sm 3.278 0.000 1.635
Sm 1.112 0.000 6.218
Sm 6.639 0.000 3.204
Sm 4.473 0.000 7.788

***

Model B:
6
Lattice="0.000 4.795 4.795 4.795 0.000 4.795 4.795 4.795 0.000" Properties=species:S:1:pos:R:3 comment="CaNdSm4, relaxed, DFT PBE-GGA" rho_g_cm3=5.92 magnetic_moment_mub_per_cell=0.00 pbc="T T T"
Ca 0.000 0.000 0.000
Nd 7.193 7.193 7.193
Sm 3.609 3.609 3.609
Sm 5.982 5.982 3.609
Sm 5.982 3.609 5.982
Sm 3.609 5.982 5.982

***

Which structure is the most stable? The one labeled model A.

***

Model A:
4
Lattice="0.000 4.127 4.127 4.127 0.000 4.127 4.127 4.127 0.000" Properties=species:S:1:pos:R:3 comment="CaTbNdSm, relaxed, DFT PBE-GGA" rho_g_cm3=5.83 magnetic_moment_mub_per_cell=0.00 pbc="T T T"
Ca 0.000 0.000 0.000
Tb 4.127 4.127 4.127
Nd 2.063 2.063 2.063
Sm 6.190 6.190 6.190

***

Model B:
4
Lattice="3.663 0.000 0.000 0.000 3.663 0.000 0.000 0.000 10.518" Properties=species:S:1:pos:R:3 comment="CaTbNdSm, relaxed, DFT PBE-GGA" rho_g_cm3=5.81 magnetic_moment_mub_per_cell=0.00 pbc="T T T"
Ca 0.000 0.000 0.000
Tb 0.000 0.000 5.219
Nd 1.831 1.831 7.697
Sm 1.831 1.831 2.785

***

Which structure is the most stable? The one labeled model B.